No. 1
A relaxed Re2Os2O crystal, computed with PBE.

formation energy without anion corrections = 1.05 eV per atom
total magnetization = 0.000 μB/atom
calculated density = 15.6 g/cm³
relative energy among the computed polymorphs = 319 meV/atom

Cell lengths 3.645, 3.645, 12.347 Å; angles 90.00, 90.00, 90.00 degrees
Fractional positions:
Re 0.000 0.000 0.105
Re 0.000 0.000 0.895
Re 0.500 0.500 0.395
Re 0.500 0.500 0.605
Os 0.000 0.500 0.250
Os 0.000 0.500 0.750
Os 0.500 0.000 0.250
Os 0.500 0.000 0.750
O 0.000 0.000 0.500
O 0.500 0.500 0.000


No. 2
A relaxed Pr8Si3AsI4 crystal, computed with PBE.

formation energy without anion corrections = -1.05 eV per atom
total magnetization = 0.000 μB/atom
calculated density = 5.8 g/cm³

Cell lengths 9.289, 9.289, 9.289 Å; angles 55.85, 55.85, 55.85 degrees
Fractional positions:
Pr 0.228 0.734 0.734
Pr 0.233 0.233 0.233
Pr 0.266 0.266 0.772
Pr 0.266 0.772 0.266
Pr 0.734 0.228 0.734
Pr 0.734 0.734 0.228
Pr 0.767 0.767 0.767
Pr 0.772 0.266 0.266
Si 0.000 0.000 0.500
Si 0.000 0.500 0.000
Si 0.500 0.000 0.000
As 0.500 0.500 0.500
I 0.000 0.000 0.000
I 0.000 0.500 0.500
I 0.500 0.000 0.500
I 0.500 0.500 0.000


No. 3
A relaxed Sc2CuMoH crystal, computed with PBE.

total energy = -6.301 eV per atom
total magnetization = 0.000 μB/atom
calculated density = 5.6 g/cm³

Cell lengths 4.530, 4.530, 3.610 Å; angles 90.00, 90.00, 90.00 degrees
Fractional positions:
Sc 0.000 0.500 0.000
Sc 0.500 0.000 0.000
Cu 0.000 0.000 0.500
Mo 0.500 0.500 0.500
H 0.500 0.500 0.000


No. 4
A relaxed LaPm4Sm2Dy crystal, computed with PBE.

total energy = -4.729 eV per atom
total magnetization = 0.000 μB/atom
calculated density = 7.2 g/cm³

Cell lengths 6.286, 3.656, 12.123 Å; angles 90.00, 100.26, 90.00 degrees
Fractional positions:
La 0.000 0.000 0.000
Pm 0.250 0.500 0.252
Pm 0.251 0.000 0.750
Pm 0.749 0.000 0.250
Pm 0.750 0.500 0.748
Sm 0.000 0.500 0.500
Sm 0.500 0.000 0.500
Dy 0.500 0.500 0.000


No. 5
A relaxed TaCl3 crystal, computed with PBE.

formation energy without anion corrections = -0.76 eV per atom
total magnetization = 0.000 μB/atom
calculated density = 4.7 g/cm³

Cell lengths 3.057, 4.697, 14.201 Å; angles 90.00, 90.00, 90.00 degrees
Fractional positions:
Ta 0.000 0.000 0.000
Ta 0.500 0.500 0.500
Cl 0.000 0.000 0.500
Cl 0.000 0.500 0.362
Cl 0.000 0.500 0.638
Cl 0.500 0.000 0.138
Cl 0.500 0.000 0.862
Cl 0.500 0.500 0.000


No. 6
A relaxed KTcIr2 crystal, computed with PBE.

total magnetization = 0.294 μB/atom
calculated density = 12.8 g/cm³
relative energy among the computed polymorphs = 644 meV/atom

Cell lengths 5.923, 8.493, 2.685 Å; angles 90.00, 90.00, 90.00 degrees
Fractional positions:
K 0.000 0.000 0.000
K 0.500 0.500 0.000
Tc 0.000 0.500 0.000
Tc 0.500 0.000 0.000
Ir 0.250 0.250 0.500
Ir 0.250 0.750 0.500
Ir 0.750 0.250 0.500
Ir 0.750 0.750 0.500


No. 7
A relaxed CrCdPd2 crystal, computed with PBE.

total energy = -5.359 eV per atom
total magnetization = 0.846 μB/atom
calculated density = 9.6 g/cm³

Cell lengths 3.081, 3.081, 6.841 Å; angles 90.00, 90.00, 90.00 degrees
Fractional positions:
Cr 0.000 0.000 0.000
Cd 0.000 0.000 0.500
Pd 0.500 0.500 0.223
Pd 0.500 0.500 0.777


No. 8
A relaxed LaMgIr2 crystal, computed with PBE.

total energy = -6.067 eV per atom
total magnetization = 0.045 μB/atom
calculated density = 11.7 g/cm³

Cell lengths 6.768, 6.768, 6.768 Å; angles 90.00, 90.00, 90.00 degrees
Fractional positions:
La 0.000 0.000 0.000
La 0.000 0.500 0.500
La 0.500 0.000 0.500
La 0.500 0.500 0.000
Mg 0.250 0.250 0.250
Mg 0.250 0.750 0.750
Mg 0.750 0.250 0.750
Mg 0.750 0.750 0.250
Ir 0.000 0.000 0.500
Ir 0.000 0.500 0.000
Ir 0.250 0.250 0.750
Ir 0.250 0.750 0.250
Ir 0.500 0.000 0.000
Ir 0.500 0.500 0.500
Ir 0.750 0.250 0.250
Ir 0.750 0.750 0.750


No. 9
A relaxed La2PrY7 crystal, computed with PBE.

total magnetization = 0.000 μB/atom
calculated density = 5.1 g/cm³
relative energy among the computed polymorphs = 0 meV/atom

Cell lengths 9.606, 9.606, 7.228 Å; angles 101.56, 101.56, 31.01 degrees
Fractional positions:
La 0.199 0.199 0.101
La 0.801 0.801 0.899
Pr 0.000 0.000 0.500
Y 0.000 0.000 0.000
Y 0.199 0.199 0.600
Y 0.400 0.400 0.698
Y 0.401 0.401 0.200
Y 0.599 0.599 0.800
Y 0.600 0.600 0.302
Y 0.801 0.801 0.400


No. 10
A relaxed Ac14NdY crystal, computed with PBE.

total energy = -4.273 eV per atom
total magnetization = 0.000 μB/atom
calculated density = 8.1 g/cm³

Cell lengths 11.230, 7.894, 7.894 Å; angles 90.00, 90.00, 90.00 degrees
Fractional positions:
Ac 0.000 0.000 0.000
Ac 0.000 0.001 0.499
Ac 0.000 0.499 0.001
Ac 0.000 0.500 0.500
Ac 0.255 0.749 0.749
Ac 0.256 0.250 0.749
Ac 0.256 0.749 0.250
Ac 0.257 0.250 0.250
Ac 0.500 0.501 0.999
Ac 0.500 0.999 0.501
Ac 0.743 0.250 0.250
Ac 0.744 0.250 0.749
Ac 0.744 0.749 0.250
Ac 0.745 0.749 0.749
Nd 0.500 0.000 0.000
Y 0.500 0.500 0.500


No. 11
A relaxed TlSi2Au2 crystal, computed with PBE.

formation energy without anion corrections = 0.27 eV per atom
total magnetization = 0.000 μB/atom
calculated density = 11.0 g/cm³
relative energy among the computed polymorphs = 185 meV/atom

Cell lengths 8.310, 8.310, 2.863 Å; angles 90.00, 90.00, 90.00 degrees
Fractional positions:
Tl 0.000 0.000 0.000
Tl 0.500 0.500 0.000
Si 0.136 0.364 0.500
Si 0.364 0.864 0.500
Si 0.636 0.136 0.500
Si 0.864 0.636 0.500
Au 0.153 0.653 0.000
Au 0.347 0.153 0.000
Au 0.653 0.847 0.000
Au 0.847 0.347 0.000


No. 12
A relaxed Tb4Dy5Tm3 crystal, computed with PBE.

total magnetization = 0.041 μB/atom
calculated density = 8.5 g/cm³
relative energy among the computed polymorphs = 223 meV/atom

Cell lengths 8.502, 8.502, 9.204 Å; angles 114.92, 114.92, 40.11 degrees
Fractional positions:
Tb 0.081 0.081 0.440
Tb 0.215 0.215 0.879
Tb 0.785 0.785 0.121
Tb 0.919 0.919 0.560
Dy 0.000 0.000 0.000
Dy 0.327 0.327 0.615
Dy 0.426 0.426 0.297
Dy 0.574 0.574 0.703
Dy 0.673 0.673 0.385
Tm 0.210 0.210 0.232
Tm 0.500 0.500 0.000
Tm 0.790 0.790 0.768


Copy entry 4 word for word.
A relaxed LaPm4Sm2Dy crystal, computed with PBE.

total energy = -4.729 eV per atom
total magnetization = 0.000 μB/atom
calculated density = 7.2 g/cm³

Cell lengths 6.286, 3.656, 12.123 Å; angles 90.00, 100.26, 90.00 degrees
Fractional positions:
La 0.000 0.000 0.000
Pm 0.250 0.500 0.252
Pm 0.251 0.000 0.750
Pm 0.749 0.000 0.250
Pm 0.750 0.500 0.748
Sm 0.000 0.500 0.500
Sm 0.500 0.000 0.500
Dy 0.500 0.500 0.000